! MgNiN2O (GGA+U, optimized geometry); values from VASP
! Size of the total moment = 5.9 μB/cell
! Calculated total energy = -0.1440 Ha/atom
! SG = P4/mmm
&SYSTEM
  ibrav = 0, nat = 5, ntyp = 4
/
ATOMIC_SPECIES
Mg 24.30 Mg.upf
Ni 58.69 Ni.upf
N 14.01 N.upf
O 16.00 O.upf
CELL_PARAMETERS angstrom
4.0525 0.0000 0.0000
0.0000 4.0525 0.0000
0.0000 0.0000 3.8315
ATOMIC_POSITIONS crystal
Mg 0.0000 0.0000 0.0000
Ni 0.5000 0.5000 0.5000
N 0.0000 0.5000 0.0000
N 0.5000 0.0000 0.0000
O 0.0000 0.0000 0.5000